No. 1
Ce2ZnSi, relaxed, DFT PBE; density of states at the Fermi level = 6.0 states/eV per cell; energy = -5.030 eV per atom; space group = P4/mmm, No. 123
1.0
4.603 0.000 0.000
0.000 4.603 0.000
0.000 0.000 4.139
Ce Zn Si
2 1 1
Cartesian
0.000 2.302 0.000
2.302 0.000 0.000
0.000 0.000 2.069
2.302 2.302 2.069

***

No. 2
Ce2ZnSi, relaxed, DFT PBE; density of states at the Fermi level = 19.3 states/eV per cell; energy = -5.038 eV per atom; space group = P2_1/m, No. 11
1.0
5.956 0.000 0.000
0.000 4.037 0.000
-2.794 0.000 7.966
Ce Zn Si
4 2 2
Cartesian
0.083 1.009 3.409
1.453 3.028 0.620
1.709 1.009 7.346
3.079 3.028 4.557
0.045 3.028 5.731
3.118 1.009 2.235
-1.351 1.009 6.292
4.513 3.028 1.674

***

No. 3
CeZnSi2, relaxed, DFT PBE; density of states at the Fermi level = 4.7 states/eV per cell; energy = -4.836 eV per atom; space group = P4/mmm, No. 123
1.0
4.264 0.000 0.000
0.000 4.264 0.000
0.000 0.000 4.116
Ce Zn Si
1 1 2
Cartesian
0.000 0.000 0.000
2.132 2.132 0.000
0.000 2.132 2.058
2.132 0.000 2.058

***

No. 4
Ce2ZnSi, relaxed, DFT PBE; density of states at the Fermi level = 7.8 states/eV per cell; energy = -5.026 eV per atom; space group = P4/mmm, No. 123
1.0
3.756 0.000 0.000
0.000 3.756 0.000
0.000 0.000 6.519
Ce Zn Si
2 1 1
Cartesian
0.000 0.000 1.440
0.000 0.000 5.079
1.878 1.878 3.259
1.878 1.878 0.000

***

No. 5
CeZnSi2, relaxed, DFT PBE; density of states at the Fermi level = 38.8 states/eV per cell; energy = -4.979 eV per atom; space group = Pnma, No. 62
1.0
13.545 0.000 0.000
0.000 4.113 0.000
0.000 0.000 10.761
Ce Zn Si
8 8 16
Cartesian
0.693 1.028 2.595
2.657 3.085 10.296
4.115 1.028 4.916
6.080 3.085 7.976
7.465 1.028 2.785
9.430 3.085 5.845
10.888 1.028 0.465
12.852 3.085 8.165
0.784 1.028 5.898
2.780 3.085 7.090
3.992 1.028 1.710
5.989 3.085 0.518
7.557 1.028 10.243
9.553 3.085 9.051
10.765 1.028 3.671
12.761 3.085 4.863
0.361 1.028 10.324
1.522 1.028 8.284
1.776 3.085 4.784
2.848 3.085 2.661
3.925 1.028 8.041
4.997 1.028 10.164
5.251 3.085 2.904
6.412 3.085 4.943
7.133 1.028 5.818
8.294 1.028 7.857
8.548 3.085 0.597
9.620 3.085 2.719
10.697 1.028 8.100
11.769 1.028 5.977
12.023 3.085 2.477
13.184 3.085 0.437

***

No. 6
CeZn2Si, relaxed, DFT PBE; density of states at the Fermi level = 2.6 states/eV per cell; energy = -3.628 eV per atom; space group = Fm-3m, No. 225
1.0
0.000 3.336 3.336
3.336 0.000 3.336
3.336 3.336 0.000
Ce Zn Si
1 2 1
Cartesian
0.000 0.000 0.000
1.668 1.668 1.668
5.005 5.005 5.005
3.336 3.336 3.336